The following is a DFT calculation (GGA-PBE) of an optimized crystal structure of SrOsRh2.

POSCAR file:
```
SrOsRh2
1.0
1.441 0.832 9.536
-1.441 0.832 9.536
0.000 -1.664 9.536
Sr Os Rh
1 1 2
direct
0.000 0.000 0.000
0.500 0.500 0.500
0.240 0.240 0.240
0.760 0.760 0.760
```

**Symmetry**: R-3m (166)
**Calculated density**: 11.712 Mg/m³
**Energy of formation**: 60.1 kJ/mol of atoms
**Density of states at the Fermi level**: 5.07 states/eV/f.u.